1.
Below is a geometry-optimized KCdHg2Te structure, with properties calculated at the PBE level.

Unit cell a=5.652 b=5.652 c=5.901 alpha=90.00 beta=90.00 gamma=90.00
Fractional coordinates of all 5 atoms:
Te 0.000 0.000 0.500
Cd 0.000 0.000 0.000
K 0.500 0.500 0.500
Hg 0.000 0.500 0.000
Hg 0.500 0.000 0.000

## Properties
As for the space group: P4/mmm. The calculation puts the total magnetization at 0.0 μB per cell. The calculation puts the density of states at the Fermi level at 0.28 states/eV per atom. As for the calculated total energy: -1.406 eV/atom. The value obtained for the formation energy (no corrections) is -0.25 eV per atom.

=====

2.
Below is a geometry-optimized KCdHgTe2 structure, with properties calculated at the PBE level.

Unit cell a=8.151 b=8.169 c=6.276 alpha=112.60 beta=90.00 gamma=90.00
Fractional coordinates of all 10 atoms:
Cd 0.500 0.000 0.250
Te 0.701 0.243 0.622
Te 0.298 0.757 0.378
Hg 0.000 0.000 0.500
Te 0.701 0.757 0.878
Te 0.298 0.243 0.122
Cd 0.500 0.000 0.750
K 0.305 0.500 0.750
Hg 0.000 0.000 0.000
K 0.695 0.500 0.250

## Properties
As for the space group: Cmme. The calculation puts the total magnetization at 0.0 μB per cell. The calculation puts the density of states at the Fermi level at 0.44 states/eV per atom. As for the calculated total energy: -2.140 eV/atom. The value obtained for the formation energy (no corrections) is -0.42 eV per atom.

=====

3.
Below is a geometry-optimized K2CdHg2Te4 structure, with properties calculated at the PBE level.

Unit cell a=4.474 b=8.231 c=9.374 alpha=107.55 beta=103.81 gamma=90.00
Fractional coordinates of all 9 atoms:
Hg 0.333 0.007 0.665
Te 0.783 0.782 0.566
Hg 0.667 0.993 0.335
Cd 0.000 0.000 0.000
Te 0.486 0.234 0.971
Te 0.514 0.766 0.029
K 0.124 0.556 0.249
K 0.876 0.444 0.751
Te 0.217 0.218 0.434

## Properties
As for the space group: C2/m. The calculation puts the total magnetization at 0.0 μB per cell. As for the calculated total energy: -2.310 eV/atom. The value obtained for the formation energy (no corrections) is -0.50 eV per atom.

=====

Q: Look up the formation energy (no corrections) of the first one.
A: -0.25 eV per atom

=====

Q: Among the records above, which one has the highest formation energy (no corrections)?
A: KCdHg2Te